VASP calculation (PBE) on Er2NiOs3 after structural relaxation.

```
Er2NiOs3
1.0
-1.2686 -1.0592 -4.9770
4.1268 -2.3570 2.2172
-3.1033 -1.7484 3.9247
Er Ni Os
2 1 3
direct
0.7538 0.3769 0.1307 Er
0.2462 0.6231 0.8693 Er
0.0000 0.0000 0.0000 Ni
0.5000 0.5000 0.5000 Os
0.0000 0.0000 0.5000 Os
0.5000 0.0000 0.5000 Os
```

DOS at the Fermi energy   3.48 states/eV per cell
DFT formation energy   -0.3907 eV per atom
Calculated volume   103.58 Å³/cell
SG   R-3m
Total magnetic moment   0.000 Bohr magnetons per cell